# Li2V2MoO7

A relaxed structure of Li2V2MoO7 (GGA+U, Alexandria via LeMat-Bulk).

```
Li2V2MoO7
1.0
-4.4620 -1.0858 2.5529
-2.0168 -4.8483 -0.1803
1.8608 -3.8817 7.0083
Mo O V Li
1 7 2 2
Direct
0.5000 0.5000 0.5000
0.8577 0.5991 0.3184
0.1423 0.7752 0.6816
0.5991 0.2248 0.3184
0.4009 0.1423 0.6816
0.7752 0.4009 0.6816
0.0000 0.0000 0.0000
0.2248 0.8577 0.3184
0.0786 0.0786 0.7642
0.9214 0.9214 0.2358
0.2297 0.2297 0.3110
0.7703 0.7703 0.6890
```

## Properties
Space-group type ... R32, No. 155
Total energy ... -6.852 eV/atom
Crystal system ... trigonal